#a
Rb2TlSb (GGA-PBE, optimized geometry); symmetry = P2_1/m
1.0
4.827 0.000 0.000
0.000 7.308 -1.640
0.000 -1.035 10.681
Rb Sb Tl
4 2 2
direct
0.750 0.296 0.079
0.250 0.235 0.433
0.750 0.765 0.567
0.250 0.704 0.921
0.250 0.654 0.282
0.750 0.346 0.718
0.250 0.140 0.783
0.750 0.860 0.217

#b
Rb2TlSb (GGA-PBE, optimized geometry); symmetry = I-42d
1.0
-4.682 2.634 -0.418
-2.182 -4.269 -2.460
-6.930 -5.307 9.456
Tl Sb Rb
2 2 4
direct
0.750 0.250 0.500
0.000 0.000 0.000
0.500 0.500 0.000
0.250 0.750 0.500
0.623 0.125 0.250
0.375 0.377 0.750
0.875 0.873 0.750
0.127 0.625 0.250

#c
Rb2TlSb (GGA-PBE, optimized geometry); symmetry = Fm-3m
1.0
0.000 4.340 4.340
4.340 0.000 4.340
4.340 4.340 0.000
Sb Tl Rb
1 1 2
direct
0.000 0.000 0.000
0.500 0.500 0.500
0.750 0.750 0.750
0.250 0.250 0.250

#d
Rb2TlSb (GGA-PBE, optimized geometry); symmetry = Cm
1.0
-5.378 0.982 -1.640
-3.476 -4.183 -1.036
-4.875 -1.009 5.449
Tl Rb Sb
1 2 1
direct
0.494 0.262 0.750
0.909 0.655 0.526
0.692 0.469 0.147
0.115 0.875 0.894

Energetically preferred structure: #a | next structure: +79 meV/atom